Record 1
DFT (PBE) results for an optimized crystal structure of Al2Ge5Pd12.

Unit cell a=7.634 b=7.634 c=8.306 alpha=103.47 beta=103.47 gamma=43.51
Positions (direct):
Al 0.244 0.756 0.000
Al 0.756 0.244 0.000
Ge 0.000 0.000 0.500
Ge 0.293 0.293 0.621
Ge 0.342 0.342 0.144
Ge 0.658 0.658 0.856
Ge 0.707 0.707 0.379
Pd 0.063 0.556 0.883
Pd 0.068 0.068 0.261
Pd 0.112 0.600 0.409
Pd 0.400 0.888 0.591
Pd 0.444 0.937 0.117
Pd 0.478 0.478 0.732
Pd 0.522 0.522 0.268
Pd 0.556 0.063 0.883
Pd 0.600 0.112 0.409
Pd 0.888 0.400 0.591
Pd 0.932 0.932 0.739
Pd 0.937 0.444 0.117

- Volume: 16.98 Å³/atom
- Fermi-level density of states: 7.733 states/eV/f.u.
- DFT total energy: -5.310 eV per atom
- ΔH_f (0 K): -0.42 eV/atom

---

Record 2
DFT (PBE) results for an optimized crystal structure of AlGePd2.

Unit cell a=4.392 b=4.392 c=3.154 alpha=90.00 beta=90.00 gamma=90.00
Positions (direct):
Al 0.000 0.000 0.000
Ge 0.500 0.500 0.000
Pd 0.000 0.500 0.500
Pd 0.500 0.000 0.500

- Volume: 15.21 Å³/atom
- Fermi-level density of states: 1.875 states/eV/f.u.
- DFT total energy: -5.208 eV per atom
- ΔH_f (0 K): -0.52 eV/atom

---

Record 3
DFT (PBE) results for an optimized crystal structure of AlGe2Pd2.

Unit cell a=7.183 b=7.183 c=7.183 alpha=151.28 beta=151.28 gamma=41.06
Positions (direct):
Al 0.000 0.000 0.000
Ge 0.250 0.750 0.500
Ge 0.750 0.250 0.500
Pd 0.402 0.402 0.000
Pd 0.598 0.598 0.000

- Volume: 17.07 Å³/atom
- Fermi-level density of states: 1.712 states/eV/f.u.
- DFT total energy: -4.833 eV per atom
- ΔH_f (0 K): -0.16 eV/atom
- Relative energy among the computed polymorphs: 0.0449 eV per atom

---

Record 4
DFT (PBE) results for an optimized crystal structure of AlGePd5.

Unit cell a=6.412 b=6.412 c=7.668 alpha=117.66 beta=117.66 gamma=82.35
Positions (direct):
Al 0.016 0.984 0.750
Al 0.984 0.016 0.250
Ge 0.500 0.500 0.000
Ge 0.500 0.500 0.500
Pd 0.122 0.260 0.651
Pd 0.137 0.658 0.018
Pd 0.260 0.122 0.151
Pd 0.310 0.690 0.750
Pd 0.342 0.863 0.482
Pd 0.658 0.137 0.518
Pd 0.690 0.310 0.250
Pd 0.740 0.878 0.849
Pd 0.863 0.342 0.982
Pd 0.878 0.740 0.349

- Volume: 17.57 Å³/atom
- Fermi-level density of states: 2.335 states/eV/f.u.
- DFT total energy: -5.151 eV per atom
- ΔH_f (0 K): -0.25 eV/atom

---

Record 5
DFT (PBE) results for an optimized crystal structure of Al3GePd.

Unit cell a=4.780 b=4.780 c=4.780 alpha=90.00 beta=90.00 gamma=90.00
Positions (direct):
Al 0.000 0.000 0.500
Al 0.000 0.500 0.000
Al 0.500 0.000 0.000
Ge 0.000 0.000 0.000
Pd 0.500 0.500 0.500

- Volume: 21.84 Å³/atom
- Fermi-level density of states: 2.414 states/eV/f.u.
- DFT total energy: -3.529 eV per atom
- ΔH_f (0 K): 0.68 eV/atom
- Relative energy among the computed polymorphs: 0.5455 eV per atom

---

Record 6
DFT (PBE) results for an optimized crystal structure of AlGePd2.

Unit cell a=5.648 b=5.648 c=5.648 alpha=103.92 beta=103.92 gamma=121.26
Positions (direct):
Al 0.000 0.000 0.000
Al 0.750 0.250 0.500
Ge 0.250 0.750 0.500
Ge 0.500 0.500 0.000
Pd 0.107 0.625 0.982
Pd 0.375 0.357 0.482
Pd 0.643 0.125 0.018
Pd 0.875 0.893 0.518

- Volume: 16.78 Å³/atom
- Fermi-level density of states: 1.958 states/eV/f.u.
- DFT total energy: -4.956 eV per atom
- ΔH_f (0 K): -0.27 eV/atom